Entry 1:
The following is a PBE-GGA calculation of a geometry-optimized TaMo2Cl structure, from the Alexandria database.

Space-group type: C2/m (12)
Energy above the most stable polymorph in this dataset (meV/atom): 365

Geometry as POSCAR:
```
TaMo2Cl
1.0
9.995 0.000 0.000
0.000 3.075 0.000
-0.327 0.000 4.456
Ta Mo Cl
2 4 2
direct
0.000 0.000 0.000 Ta
0.500 0.500 0.000 Ta
0.225 0.500 0.216 Mo
0.275 0.000 0.784 Mo
0.725 0.000 0.216 Mo
0.775 0.500 0.784 Mo
0.000 0.500 0.500 Cl
0.500 0.000 0.500 Cl
```

=====

Entry 2:
The following is a PBE-GGA calculation of a geometry-optimized NdEr2V structure, from the Alexandria database.

Space-group type: R-3m (166)
ΔH_f (0 K) (eV/atom): 0.61

Geometry as POSCAR:
```
NdEr2V
1.0
3.376 0.000 0.000
-1.688 2.923 0.000
0.000 0.000 34.470
Nd Er V
3 6 3
direct
0.000 0.000 0.000 Nd
0.333 0.667 0.667 Nd
0.667 0.333 0.333 Nd
0.000 0.000 0.419 Er
0.000 0.000 0.581 Er
0.333 0.667 0.086 Er
0.333 0.667 0.247 Er
0.667 0.333 0.753 Er
0.667 0.333 0.914 Er
0.000 0.000 0.500 V
0.333 0.667 0.167 V
0.667 0.333 0.833 V
```

=====

Entry 3:
The following is a PBE-GGA calculation of a geometry-optimized AgSbI2Br structure, from the Alexandria database.

Space-group type: P4/mmm (123)
Energy above the most stable polymorph in this dataset (meV/atom): 0

Geometry as POSCAR:
```
AgSbI2Br
1.0
5.520 0.000 0.000
0.000 5.520 0.000
0.000 0.000 5.683
Ag Sb I Br
1 1 2 1
direct
0.000 0.000 0.000 Ag
0.000 0.000 0.500 Sb
0.000 0.500 0.000 I
0.500 0.000 0.000 I
0.500 0.500 0.500 Br
```

=====

Entry 4:
The following is a PBE-GGA calculation of a geometry-optimized CdSiBr2 structure, from the Alexandria database.

Space-group type: P4/mmm (123)
Energy above the most stable polymorph in this dataset (meV/atom): 276

Geometry as POSCAR:
```
CdSiBr2
1.0
3.466 0.000 0.000
0.000 3.466 0.000
0.000 0.000 9.677
Cd Si Br
1 1 2
direct
0.000 0.000 0.000 Cd
0.000 0.000 0.500 Si
0.500 0.500 0.328 Br
0.500 0.500 0.672 Br
```

=====

Entry 5:
The following is a PBE-GGA calculation of a geometry-optimized Ce4PmDy structure, from the Alexandria database.

Space-group type: F-43m (216)
ΔH_f (0 K) (eV/atom): 0.21

Geometry as POSCAR:
```
Ce4PmDy
1.0
0.000 4.483 4.483
4.483 0.000 4.483
4.483 4.483 0.000
Ce Pm Dy
4 1 1
direct
0.379 0.379 0.379 Ce
0.379 0.379 0.864 Ce
0.379 0.864 0.379 Ce
0.864 0.379 0.379 Ce
0.000 0.000 0.000 Pm
0.750 0.750 0.750 Dy
```

=====

Entry 6:
The following is a PBE-GGA calculation of a geometry-optimized Np2BeNi4Ge3 structure, from the Alexandria database.

Space-group type: P-4m2 (115)
ΔH_f (0 K) (eV/atom): -0.31

Geometry as POSCAR:
```
Np2BeNi4Ge3
1.0
3.985 0.000 0.000
0.000 3.985 0.000
0.000 0.000 9.737
Np Be Ni Ge
2 1 4 3
direct
0.000 0.500 0.242 Np
0.500 0.000 0.758 Np
0.500 0.500 0.000 Be
0.000 0.000 0.500 Ni
0.000 0.500 0.876 Ni
0.500 0.000 0.124 Ni
0.500 0.500 0.500 Ni
0.000 0.000 0.000 Ge
0.000 0.500 0.635 Ge
0.500 0.000 0.365 Ge
```

=====

Entry 7:
The following is a PBE-GGA calculation of a geometry-optimized Th6ScBi8 structure, from the Alexandria database.

Space-group type: R-3 (148)
ΔH_f (0 K) (eV/atom): -0.52

Geometry as POSCAR:
```
Th6ScBi8
1.0
4.771 2.755 6.448
-4.771 2.755 6.448
0.000 -5.509 6.448
Th Sc Bi
6 1 8
direct
0.081 0.463 0.690 Th
0.310 0.919 0.537 Th
0.463 0.690 0.081 Th
0.537 0.310 0.919 Th
0.690 0.081 0.463 Th
0.919 0.537 0.310 Th
0.000 0.000 0.000 Sc
0.091 0.824 0.353 Bi
0.176 0.647 0.909 Bi
0.329 0.329 0.329 Bi
0.353 0.091 0.824 Bi
0.647 0.909 0.176 Bi
0.671 0.671 0.671 Bi
0.824 0.353 0.091 Bi
0.909 0.176 0.647 Bi
```

=====

Entry 8:
The following is a PBE-GGA calculation of a geometry-optimized CaGaBi2 structure, from the Alexandria database.

Space-group type: P4/mmm (123)
ΔH_f (0 K) (eV/atom): -0.31

Geometry as POSCAR:
```
CaGaBi2
1.0
4.270 0.000 0.000
0.000 4.270 0.000
0.000 0.000 6.414
Ca Ga Bi
1 1 2
direct
0.000 0.000 0.000 Ca
0.000 0.000 0.500 Ga
0.500 0.500 0.252 Bi
0.500 0.500 0.748 Bi
```